Compound: YBiB3
Source: Alexandria via LeMat-Bulk
Functional: PBE
Structure: relaxed

a = 4.644 Å, b = 4.644 Å, c = 4.644 Å
α = 90.00°, β = 90.00°, γ = 90.00°
Fractional positions:
Y  0.000  0.000  0.000
Bi  0.500  0.500  0.500
B  0.000  0.500  0.500
B  0.500  0.000  0.500
B  0.500  0.500  0.000

Distance to the lowest polymorph of the same formula in meV/atom: 0
Final energy in eV per formula unit: -21.2
Formation energy from the elements in eV/f.u.: 9.16